No. 1
Compound: CaWAu3
Source: Alexandria via LeMat-Bulk
Functional: PBEsol
Structure: optimized geometry

DFT formation energy   1.765 eV per atom
Density of states at the Fermi level   2.13 states/eV/cell
M_tot   3.8 μB per cell
Total energy   -3.78 eV per atom

The structure in POSCAR format:
```
CaWAu3
1.0
4.964 0.000 0.000
0.000 4.964 0.000
0.000 0.000 4.964
Ca Au W
1 3 1
direct
0.000 0.000 0.000
0.000 0.500 0.000
0.000 0.000 0.500
0.500 0.000 0.000
0.500 0.500 0.500
```

---

No. 2
Compound: CaW2Au
Source: Alexandria via LeMat-Bulk
Functional: PBEsol
Structure: optimized geometry

DFT formation energy   0.609 eV per atom
Density of states at the Fermi level   3.39 states/eV/cell
Energy above the lowest structure with this stoichiometry   219 meV per atom
M_tot   0.0 μB per cell
Total energy   -7.81 eV per atom

The structure in POSCAR format:
```
CaW2Au
1.0
4.627 0.000 0.000
2.313 4.007 0.000
2.313 1.336 3.778
Au Ca W
1 1 2
direct
0.500 0.500 0.500
0.750 0.750 0.750
0.000 0.000 0.000
0.250 0.250 0.250
```

---

No. 3
Compound: Ca4WAu
Source: Alexandria via LeMat-Bulk
Functional: PBEsol
Structure: optimized geometry

DFT formation energy   1.107 eV per atom
Density of states at the Fermi level   6.00 states/eV/cell
M_tot   4.4 μB per cell
Total energy   -3.27 eV per atom

The structure in POSCAR format:
```
Ca4WAu
1.0
-4.018 4.515 0.151
-4.763 -0.314 3.711
-0.307 3.613 4.837
Au Ca W
1 4 1
direct
0.000 0.000 0.000
0.375 0.375 0.375
0.375 0.375 0.875
0.875 0.375 0.375
0.375 0.875 0.375
0.750 0.750 0.750
```

---

Which of these has the highest DFT formation energy?
CaWAu3